# 1
Density functional theory data (PBE) for MgMn2MoRu after structural relaxation.

a = 4.3892 Å, b = 4.3892 Å, c = 4.6781 Å
α = 90.00°, β = 90.00°, γ = 90.00°
Closest atoms and distances in Å follow each position.
Space group P4/mmm (No. 123)
Symmetry-distinct sites (fractional):
Mg 0.0000 0.0000 0.0000 (multiplicity 1)  2 Ru 2.34
Mn 0.0000 0.5000 0.5000 (multiplicity 2)  2 Ru 2.19
Mo 0.5000 0.5000 0.0000 (multiplicity 1)  4 Mg 3.10, 8 Mn 3.21
Ru 0.0000 0.0000 0.5000 (multiplicity 1)  4 Mn 2.19, 2 Mg 2.34

## Properties
Calculated total energy in eV/atom: -6.443
Formation enthalpy at 0 K in kcal/mol of atoms: 36.1



# 2
Density functional theory data (PBE) for ReTcPRh2 after structural relaxation.

a = 4.3181 Å, b = 4.3181 Å, c = 4.3659 Å
α = 90.00°, β = 90.00°, γ = 90.00°
Closest atoms and distances in Å follow each position.
Space group P4/mmm (No. 123)
Symmetry-distinct sites (fractional):
Re 0.0000 0.0000 0.0000 (multiplicity 1)  4 Tc 3.05, 8 Rh 3.07
Tc 0.5000 0.5000 0.0000 (multiplicity 1)  2 P 2.18
P 0.5000 0.5000 0.5000 (multiplicity 1)  4 Rh 2.16, 2 Tc 2.18
Rh 0.0000 0.5000 0.5000 (multiplicity 2)  2 P 2.16

## Properties
Calculated total energy in eV/atom: -7.889
Formation enthalpy at 0 K in kcal/mol of atoms: 16.0



Question: Among the records above, which one has the highest calculated total energy?
Answer: MgMn2MoRu



Question: Which of these has the lowest formation enthalpy at 0 K?
Answer: ReTcPRh2